First-principles (PBE-GGA) data for an optimized crystal structure of TbPrTm2, as listed in the Alexandria database.

a = 3.5717 Å, b = 3.5717 Å, c = 10.0381 Å
α = 90.00°, β = 90.00°, γ = 90.00°
Closest atoms and distances in Å follow each position.
Space group P4/mmm (No. 123)
Inequivalent atoms, fractional coordinates:
Tb (0.0000, 0.0000, 0.0000) x1  8 Tm 3.52, 4 Tb 3.57
Pr (0.0000, 0.0000, 0.5000) x1  4 Pr 3.57, 8 Tm 3.60
Tm (0.5000, 0.5000, 0.2448) x2  4 Tb 3.52, 4 Tm 3.57, 4 Pr 3.60

ΔH_f (0 K) = 11 kJ/mol of formula units
total energy = -4.560 eV per atom
calculated volume = 128 Å³ per cell